Entry P
A plane-wave DFT calculation with PBE-GGA was carried out for a relaxed structure of ZrNbC2.

Computed properties:
SG: I-42d
volume: 15.5 A^3/atom

a = 4.9922 Å, b = 4.9922 Å, c = 6.0878 Å
α = 65.79°, β = 65.79°, γ = 90.00°
With the nearest neighbours (Å) after each atom.
Element x y z (fractional)
Nb 0.0000 0.0000 0.0000  4 C 2.10
Nb 0.7500 0.2500 0.5000  4 C 2.10
C 0.6464 0.1250 0.2500  2 Nb 2.10, 2 Zr 2.22
C 0.1036 0.6250 0.2500  2 Nb 2.10, 2 Zr 2.22
C 0.3750 0.3536 0.7500  2 Nb 2.10, 2 Zr 2.22
C 0.8750 0.8964 0.7500  2 Nb 2.10, 2 Zr 2.22
Zr 0.5000 0.5000 0.0000  4 C 2.22
Zr 0.2500 0.7500 0.5000  4 C 2.22

---

Entry Q
A plane-wave DFT calculation with PBE-GGA was carried out for a relaxed structure of ZrNbC2.

Computed properties:
SG: P6_3/mmc
volume: 12.2 A^3/atom

a = 3.2323 Å, b = 3.2323 Å, c = 10.8031 Å
α = 90.00°, β = 90.00°, γ = 120.00°
With the nearest neighbours (Å) after each atom.
Element x y z (fractional)
Zr 0.6667 0.3333 0.2500  6 C 2.36
Zr 0.3333 0.6667 0.7500  6 C 2.36
Nb 0.0000 0.0000 0.5000  6 C 2.25
Nb 0.0000 0.0000 0.0000  6 C 2.25
C 0.3333 0.6667 0.3831  3 Nb 2.25, 3 Zr 2.36
C 0.6667 0.3333 0.8831  3 Nb 2.25, 3 Zr 2.36
C 0.6667 0.3333 0.6169  3 Nb 2.25, 3 Zr 2.36
C 0.3333 0.6667 0.1169  3 Nb 2.25, 3 Zr 2.36

---

Entry R
A plane-wave DFT calculation with PBE-GGA was carried out for a relaxed structure of ZrNbC2.

Computed properties:
SG: R3m
volume: 12.6 A^3/atom

a = 3.2156 Å, b = 3.2156 Å, c = 5.9056 Å
α = 74.20°, β = 74.20°, γ = 60.00°
With the nearest neighbours (Å) after each atom.
Element x y z (fractional)
Zr 0.6722 0.6722 0.9835  6 C 2.29-2.42
Nb 0.4969 0.4969 0.5094  6 C 2.28-2.32
C 0.0848 0.0848 0.7455  3 Nb 2.28, 3 Zr 2.29
C 0.2461 0.2461 0.2616  3 Nb 2.32, 3 Zr 2.42

---

Entry S
A plane-wave DFT calculation with PBE-GGA was carried out for a relaxed structure of ZrNbC2.

Computed properties:
SG: P-3m1
volume: 12.9 A^3/atom

a = 3.2371 Å, b = 3.2371 Å, c = 5.6967 Å
α = 90.00°, β = 90.00°, γ = 120.00°
With the nearest neighbours (Å) after each atom.
Element x y z (fractional)
Zr 0.0000 0.5000 0.5000  6 C 2.39
Nb 0.0000 0.5000 0.0000  6 C 2.31
C 0.6667 0.8333 0.7629  3 Nb 2.31, 3 Zr 2.39
C 0.3333 0.1667 0.2371  3 Nb 2.31, 3 Zr 2.39

---

Stability check: which of them is least stable? entry P.

---

Entry P
A plane-wave DFT calculation with PBE-GGA was carried out for a relaxed structure of Zr3NbC4.

Computed properties:
SG: R-3m
volume: 12.7 A^3/atom

a = 10.9578 Å, b = 10.9578 Å, c = 10.9578 Å
α = 17.31°, β = 17.31°, γ = 17.31°
With the nearest neighbours (Å) after each atom.
Element x y z (fractional)
Nb 0.0000 0.0000 0.0000  6 C 2.28
C 0.3724 0.3724 0.3724  3 Nb 2.28, 3 Zr 2.36
C 0.1241 0.1241 0.1241  6 Zr 2.34-2.35
C 0.6276 0.6276 0.6276  3 Nb 2.28, 3 Zr 2.36
C 0.8759 0.8759 0.8759  6 Zr 2.34-2.35
Zr 0.2512 0.2512 0.2512  6 C 2.34-2.36
Zr 0.5000 0.5000 0.5000  6 C 2.35
Zr 0.7488 0.7488 0.7488  6 C 2.34-2.36

---

Entry Q
A plane-wave DFT calculation with PBE-GGA was carried out for a relaxed structure of Zr3NbC4.

Computed properties:
SG: Cmmm
volume: 12.7 A^3/atom

a = 3.3031 Å, b = 5.7062 Å, c = 5.7062 Å
α = 109.36°, β = 90.00°, γ = 90.00°
With the nearest neighbours (Å) after each atom.
Element x y z (fractional)
Nb 0.5000 0.0000 0.0000  6 C 2.29-2.30
C 0.0000 0.2422 0.2422  2 Nb 2.30, 4 Zr 2.33-2.37
C 0.5000 0.7545 0.2455  1 Nb 2.29, 5 Zr 2.33-2.37
C 0.0000 0.7578 0.7578  2 Nb 2.30, 4 Zr 2.33-2.37
C 0.5000 0.2455 0.7545  1 Nb 2.29, 5 Zr 2.33-2.37
Zr 0.0000 0.0000 0.5000  6 C 2.33
Zr 0.5000 0.5000 0.5000  6 C 2.37
Zr 0.0000 0.5000 0.0000  6 C 2.33

---

Stability check: which of them is least stable? entry P.

---

Entry P
A plane-wave DFT calculation with PBE-GGA was carried out for a relaxed structure of ZrNbC.

Computed properties:
SG: P3m1
volume: 15.6 A^3/atom

a = 5.2039 Å, b = 3.2236 Å, c = 3.2236 Å
α = 120.00°, β = 90.00°, γ = 90.00°
With the nearest neighbours (Å) after each atom.
Element x y z (fractional)
Nb 0.2409 0.3333 0.6667  3 C 2.21
C 0.0116 0.0000 0.0000  3 Nb 2.21, 3 Zr 2.31
Zr 0.7475 0.6667 0.3333  3 C 2.31

---

Entry Q
A plane-wave DFT calculation with PBE-GGA was carried out for a relaxed structure of ZrNbC.

Computed properties:
SG: Pmma
volume: 16.0 A^3/atom

a = 3.3089 Å, b = 5.4741 Å, c = 5.2863 Å
α = 90.00°, β = 90.01°, γ = 90.00°
With the nearest neighbours (Å) after each atom.
Element x y z (fractional)
Zr 0.5000 0.7500 0.6882  4 C 2.37
Zr 0.5000 0.2500 0.3118  4 C 2.37
Nb 0.9999 0.7500 0.1976  2 C 2.10
Nb 0.0001 0.2500 0.8024  2 C 2.10
C 0.0000 0.0000 0.5000  2 Nb 2.10
C 0.0000 0.5000 0.5000  2 Nb 2.10

---

Stability check: which of them is least stable? entry Q.

---

Entry P
A plane-wave DFT calculation with PBE-GGA was carried out for a relaxed structure of ZrNb3C.

Computed properties:
SG: Pm-3m
volume: 23.2 A^3/atom

a = 4.8779 Å, b = 4.8779 Å, c = 4.8779 Å
α = 90.00°, β = 90.00°, γ = 90.00°
With the nearest neighbours (Å) after each atom.
Element x y z (fractional)
Nb 0.0000 0.5000 0.0000  2 Zr 2.44
Nb 0.0000 0.0000 0.5000  2 Zr 2.44
Nb 0.5000 0.0000 0.0000  2 Zr 2.44
C 0.5000 0.5000 0.5000  12 Nb 3.45
Zr 0.0000 0.0000 0.0000  6 Nb 2.44

---

Entry Q
A plane-wave DFT calculation with PBE-GGA was carried out for a relaxed structure of ZrNb3C.

Computed properties:
SG: Pm-3m
volume: 17.1 A^3/atom

a = 4.4083 Å, b = 4.4083 Å, c = 4.4083 Å
α = 90.00°, β = 90.00°, γ = 90.00°
With the nearest neighbours (Å) after each atom.
Element x y z (fractional)
Nb 0.0000 0.5000 0.0000  2 C 2.20
Nb 0.0000 0.0000 0.5000  2 C 2.20
Nb 0.5000 0.0000 0.0000  2 C 2.20
C 0.0000 0.0000 0.0000  6 Nb 2.20
Zr 0.5000 0.5000 0.5000  12 Nb 3.12

---

Stability check: which of them is least stable? entry P.

---

Entry P
A plane-wave DFT calculation with PBE-GGA was carried out for a relaxed structure of NdC.

Computed properties:
SG: Pmmn
volume: 18.9 A^3/atom

a = 3.7812 Å, b = 3.7901 Å, c = 5.2824 Å
α = 90.00°, β = 90.00°, γ = 90.00°
With the nearest neighbours (Å) after each atom.
Element x y z (fractional)
C 0.7852 0.7500 0.7500  6 Nd 2.62-2.74
C 0.2148 0.2500 0.2500  6 Nd 2.62-2.74
Nd 0.2631 0.2500 0.7500  6 C 2.62-2.74
Nd 0.7369 0.7500 0.2500  6 C 2.62-2.74

---

Entry Q
A plane-wave DFT calculation with PBE-GGA was carried out for a relaxed structure of NdC.

Computed properties:
SG: C2/m
volume: 23.0 A^3/atom

a = 3.6969 Å, b = 4.2959 Å, c = 6.4272 Å
α = 87.68°, β = 90.00°, γ = 115.49°
With the nearest neighbours (Å) after each atom.
Element x y z (fractional)
Nd 0.3619 0.7237 0.2782  3 C 2.42-2.60
Nd 0.6381 0.2763 0.7218  3 C 2.42-2.60
C 0.0783 0.1566 0.4499  1 C 1.35
C 0.9217 0.8434 0.5501  1 C 1.35

---

Stability check: which of them is least stable? entry P.

---

Entry P
A plane-wave DFT calculation with PBE-GGA was carried out for a relaxed structure of PmNd2C.

Computed properties:
SG: P2_1/m
volume: 25.5 A^3/atom

a = 3.6738 Å, b = 6.5606 Å, c = 8.8192 Å
α = 90.00°, β = 90.00°, γ = 106.26°
With the nearest neighbours (Å) after each atom.
Element x y z (fractional)
Pm 0.9048 0.8088 0.2500  2 C 2.52
Pm 0.0952 0.1912 0.7500  2 C 2.52
Nd 0.3462 0.6919 0.5746  3 C 2.79-3.03, 1 Nd 3.09
Nd 0.6538 0.3081 0.4254  3 C 2.79-3.03, 1 Nd 3.09
Nd 0.3462 0.6919 0.9254  3 C 2.79-3.03, 1 Nd 3.09
Nd 0.6538 0.3081 0.0746  3 C 2.79-3.03, 1 Nd 3.09
C 0.7324 0.4655 0.7500  2 Pm 2.52, 4 Nd 2.79
C 0.2676 0.5345 0.2500  2 Pm 2.52, 4 Nd 2.79

---

Entry Q
A plane-wave DFT calculation with PBE-GGA was carried out for a relaxed structure of PmNd2C.

Computed properties:
SG: R-3m
volume: 29.1 A^3/atom

a = 3.6419 Å, b = 3.6419 Å, c = 10.3330 Å
α = 79.85°, β = 79.85°, γ = 60.00°
With the nearest neighbours (Å) after each atom.
Element x y z (fractional)
C 0.5000 0.5000 0.5000  6 Nd 2.54
Nd 0.1198 0.1198 0.6406  3 C 2.54
Nd 0.8802 0.8802 0.3594  3 C 2.54
Pm 0.0000 0.0000 0.0000  2 Nd 3.64, 6 Pm 3.64

---

Stability check: which of them is least stable? entry P.